1.
Computed, not measured: a geometry-optimized Sr2Tc2O5 structure at the PBE level of DFT.

```
Sr2Tc2O5
1.0
3.493 0.000 0.000
0.000 3.493 0.000
0.000 0.000 10.525
Sr Tc O
2 2 5
direct
0.000 0.000 0.245
0.000 0.000 0.755
0.500 0.500 0.000
0.500 0.500 0.500
0.000 0.000 0.000
0.000 0.500 0.392
0.000 0.500 0.608
0.500 0.000 0.392
0.500 0.000 0.608
```

Results
Space-group type: P4/mmm
Energy in eV per atom: -6.498
Polymorph energy (0 for the lowest one) in eV per atom: 0.7728

***

2.
Computed, not measured: a geometry-optimized YErGa3Si2 structure at the PBE level of DFT.

```
YErGa3Si2
1.0
5.117 -2.023 0.000
5.117 2.023 0.000
-1.270 0.000 6.476
Y Er Ga Si
1 1 3 2
direct
0.000 0.000 0.000
0.762 0.762 0.369
0.078 0.078 0.543
0.380 0.380 0.683
0.685 0.685 0.823
0.287 0.287 0.053
0.475 0.475 0.319
```

Results
Space-group type: Cm
Energy in eV per atom: -4.967

***

3.
Computed, not measured: a geometry-optimized Li2MgZrAl2Pd2 structure at the PBE level of DFT.

```
Li2MgZrAl2Pd2
1.0
4.477 0.000 0.000
0.000 4.477 0.000
0.000 0.000 6.341
Li Mg Zr Al Pd
2 1 1 2 2
direct
0.000 0.500 0.228
0.500 0.000 0.772
0.500 0.500 0.000
0.000 0.000 0.500
0.000 0.000 0.000
0.500 0.500 0.500
0.000 0.500 0.747
0.500 0.000 0.253
```

Results
Space-group type: P-4m2
Energy in eV per atom: -4.529

***

4.
Computed, not measured: a geometry-optimized TbNbCo structure at the PBE level of DFT.

```
TbNbCo
1.0
0.000 3.116 3.116
3.116 0.000 3.116
3.116 3.116 0.000
Tb Nb Co
1 1 1
direct
0.000 0.000 0.000
0.750 0.750 0.750
0.500 0.500 0.500
```

Results
Space-group type: F-43m
Energy in eV per atom: -6.455
Energy of formation in eV per atom: 0.822

***

The calculation returns the following M_tot values, one per record and in order: 3.768; 0.003; 0.008; 0.000 μB/cell.